1.
LiTeSe2 after structural relaxation. Source: Alexandria, functional GGA-PBE.

The structure in POSCAR format:
```
LiTeSe2
1.0
2.600 0.000 7.536
-1.300 2.252 7.536
-1.300 -2.252 7.536
Se Te Li
2 1 1
direct
0.108 0.108 0.108
0.892 0.892 0.892
0.500 0.500 0.500
0.000 0.000 0.000
```

Output
ΔE_f (raw) (kJ/mol of formula units): -76
Crystal system: trigonal

2.
LiTmTeSe after structural relaxation. Source: Alexandria, functional GGA-PBE.

The structure in POSCAR format:
```
LiTmTeSe
1.0
4.156 0.000 0.000
2.078 3.599 0.000
2.078 1.200 6.781
Te Se Tm Li
1 1 1 1
direct
0.359 0.359 0.924
0.858 0.858 0.425
0.601 0.601 0.198
0.112 0.112 0.664
```

Output
ΔE_f (raw) (kJ/mol of formula units): -567
Crystal system: trigonal

3.
LiUTeSe after structural relaxation. Source: Alexandria, functional GGA-PBE.

The structure in POSCAR format:
```
LiUTeSe
1.0
-1.640 -2.915 2.413
1.789 -3.707 0.262
3.925 0.042 6.242
U Se Li Te
1 1 1 1
direct
0.507 0.507 0.479
0.254 0.254 0.239
0.993 0.993 0.020
0.746 0.746 0.762
```

Output
ΔE_f (raw) (kJ/mol of formula units): -372
Crystal system: trigonal

4.
LiU2Te2Se2 after structural relaxation. Source: Alexandria, functional GGA-PBE.

The structure in POSCAR format:
```
LiU2Te2Se2
1.0
3.948 0.000 0.000
1.974 7.092 0.949
0.000 2.736 7.479
U Te Se Li
2 2 2 1
direct
0.134 0.731 0.560
0.866 0.269 0.440
0.466 0.067 0.249
0.534 0.933 0.751
0.205 0.591 0.275
0.795 0.409 0.725
0.000 0.000 0.000
```

Output
ΔE_f (raw) (kJ/mol of formula units): -639
Crystal system: monoclinic

5.
Li3U3TeSe8 after structural relaxation. Source: Alexandria, functional GGA-PBE.

The structure in POSCAR format:
```
Li3U3TeSe8
1.0
-1.654 -7.835 1.119
0.025 3.100 -7.469
6.926 -0.886 4.035
Te Se U Li
1 8 3 3
direct
0.000 0.000 0.500
0.746 0.491 0.241
0.750 0.004 0.759
0.250 0.996 0.241
0.254 0.509 0.759
0.754 0.507 0.761
0.745 0.996 0.241
0.255 0.004 0.759
0.246 0.493 0.239
0.000 0.500 0.500
0.500 0.000 0.500
0.500 0.500 0.500
0.000 0.500 0.000
0.000 0.000 0.000
0.500 0.500 0.000
```

Output
ΔE_f (raw) (kJ/mol of formula units): -1349
Crystal system: trigonal

6.
Li2YTeSe4 after structural relaxation. Source: Alexandria, functional GGA-PBE.

The structure in POSCAR format:
```
Li2YTeSe4
1.0
7.998 0.034 0.126
0.028 7.998 0.126
-3.859 -3.861 5.962
Y Se Li Te
2 8 4 2
direct
0.000 0.500 0.000
0.000 0.500 0.500
0.759 0.257 0.022
0.718 0.726 0.457
0.282 0.274 0.543
0.757 0.259 0.522
0.243 0.741 0.478
0.226 0.218 0.957
0.241 0.743 0.978
0.774 0.782 0.043
0.500 0.000 0.000
0.000 0.000 0.500
0.500 0.000 0.500
0.500 0.500 0.000
0.500 0.500 0.500
0.000 0.000 0.000
```

Output
ΔE_f (raw) (kJ/mol of formula units): -778
Crystal system: monoclinic